This record from Alexandria describes a crystal of Cr2FeIr relaxed with PBEsol. The functional is SCAN.

Cell lengths 4.4133, 4.4133, 2.5772 Å; angles 90.00, 90.00, 109.58 degrees
Closest atoms and distances in Å follow each position.
Positions (direct):
1 Cr 0.0000 0.5000 0.0000  4 Cr 2.54-2.58, 4 Ir 2.56, 4 Fe 2.56
2 Cr 0.5000 0.0000 0.0000  4 Cr 2.54-2.58, 4 Ir 2.56, 4 Fe 2.56
3 Fe 0.0000 0.0000 0.5000  2 Ir 2.54, 8 Cr 2.56, 2 Fe 2.58
4 Ir 0.5000 0.5000 0.5000  2 Fe 2.54, 8 Cr 2.56, 2 Ir 2.58

Calculated values
magnetization = 0.5 μB per formula unit
energy above the most stable polymorph in this dataset = 47.0 meV/atom
symmetry = Cmmm
Fermi-level density of states = 3.48 states/eV per cell